DFT (GGA-PBE) results for a geometry-optimized MgSc2SiTe structure.

Unit cell a=5.1167 b=4.8059 c=5.1167 alpha=90.00 beta=90.00 gamma=90.00
Closest atoms and distances in Å follow each position.
Element x y z (fractional)
Sc 0.0000 0.0000 0.5000  2 Si 2.56
Sc 0.5000 0.0000 0.0000  2 Si 2.56
Si 0.0000 0.0000 0.0000  2 Mg 2.40, 4 Sc 2.56
Mg 0.0000 0.5000 0.0000  2 Si 2.40
Te 0.5000 0.5000 0.5000  8 Sc 3.51, 4 Mg 3.62

As for the space group: P4/mmm (123). For the density of states at the Fermi level, the calculation gives 1.1165 states/eV per atom. The uncorrected formation energy comes out at -294 meV/atom. As for the total magnetic moment: 0.00 μB/atom.

---

DFT (GGA-PBE) results for a geometry-optimized Sm2MgSc structure.

Unit cell a=3.7445 b=5.5305 c=5.5305 alpha=90.00 beta=90.00 gamma=90.00
Closest atoms and distances in Å follow each position.
Element x y z (fractional)
Sm 0.0000 0.0000 0.5000  4 Sc 3.34, 4 Mg 3.34
Sm 0.0000 0.5000 0.0000  4 Mg 3.34, 4 Sc 3.34
Sc 0.5000 0.0000 0.0000  8 Sm 3.34
Mg 0.5000 0.5000 0.5000  8 Sm 3.34

As for the space group: P4/mmm (123). As for the distance to the lowest polymorph of the same formula: 0.012 eV per atom. The value obtained for the formation energy is 0.006 eV/atom. For the density of states at the Fermi level, the calculation gives 1.4334 states/eV per atom. As for the total magnetic moment: 0.00 μB/atom.

---

DFT (GGA-PBE) results for a geometry-optimized SmMgSc4 structure.

Unit cell a=5.0768 b=6.5284 c=9.9044 alpha=90.00 beta=104.85 gamma=90.00
Closest atoms and distances in Å follow each position.
Element x y z (fractional)
Sc 0.6595 0.5259 0.3189  2 Sc 2.93-3.06, 3 Mg 2.95-3.14, 2 Sm 3.23
Sc 0.9351 0.2500 0.8701  1 Mg 2.94, 4 Sc 3.26
Sc 0.5000 0.0000 0.0000  8 Sc 3.06-3.26
Sc 0.0649 0.7500 0.1299  1 Mg 2.94, 4 Sc 3.26
Sc 0.6595 0.9741 0.3189  2 Sc 2.93-3.06, 3 Mg 2.95-3.14, 2 Sm 3.23
Sc 0.3405 0.0259 0.6811  2 Sc 2.93-3.06, 3 Mg 2.95-3.14, 2 Sm 3.23
Sc 0.5000 0.5000 0.0000  8 Sc 3.06-3.26
Sc 0.3405 0.4741 0.6811  2 Sc 2.93-3.06, 3 Mg 2.95-3.14, 2 Sm 3.23
Sm 0.8850 0.7500 0.7700  7 Sc 3.23-3.45
Sm 0.1150 0.2500 0.2300  7 Sc 3.23-3.45
Mg 0.2184 0.7500 0.4368  7 Sc 2.94-3.14
Mg 0.7816 0.2500 0.5632  7 Sc 2.94-3.14

As for the space group: Cmcm (63). The value obtained for the formation energy is 0.168 eV/atom. For the density of states at the Fermi level, the calculation gives 1.4222 states/eV per atom. As for the total magnetic moment: 0.00 μB/atom.

---

DFT (GGA-PBE) results for a geometry-optimized Sm5MgSc3 structure.

Unit cell a=9.6134 b=9.6134 c=8.6895 alpha=59.52 beta=59.52 gamma=72.38
Closest atoms and distances in Å follow each position.
Element x y z (fractional)
Sc 0.0000 0.0000 0.5000  2 Mg 2.69, 2 Sm 2.99
Sc 0.0000 0.0000 0.0000  2 Mg 2.73, 2 Sm 2.88
Sc 0.3585 0.3585 0.1995  1 Mg 2.99, 4 Sm 3.15-3.30, 1 Sc 3.18
Sc 0.2995 0.2995 0.6228  1 Mg 2.72, 2 Sm 3.01
Sc 0.6415 0.6415 0.8005  1 Mg 2.99, 4 Sm 3.15-3.30, 1 Sc 3.18
Sc 0.7005 0.7005 0.3772  1 Mg 2.72, 2 Sm 3.01
Sm 0.0666 0.5887 0.6358  1 Sc 3.01, 1 Mg 3.21
Sm 0.5487 0.5487 0.2435  4 Sc 3.13-3.21, 1 Sm 3.20
Sm 0.2537 0.7463 0.0000  1 Sc 2.88
Sm 0.4513 0.4513 0.7565  4 Sc 3.13-3.21, 1 Sm 3.20
Sm 0.1861 0.1861 0.0643  3 Sc 2.99-3.27, 1 Sm 3.20
Sm 0.8139 0.8139 0.9357  3 Sc 2.99-3.27, 1 Sm 3.20
Sm 0.5887 0.0666 0.6358  1 Sc 3.01, 1 Mg 3.21
Sm 0.9334 0.4113 0.3642  1 Sc 3.01, 1 Mg 3.21
Sm 0.4113 0.9334 0.3642  1 Sc 3.01, 1 Mg 3.21
Sm 0.7463 0.2537 0.0000  1 Sc 2.88
Mg 0.1339 0.1339 0.5968  4 Sc 2.69-2.99
Mg 0.8661 0.8661 0.4032  4 Sc 2.69-2.99

As for the space group: C2/m (12). The value obtained for the formation energy is 0.480 eV/atom. For the density of states at the Fermi level, the calculation gives 1.3771 states/eV per atom. As for the total magnetic moment: 0.00 μB/atom.

---

DFT (GGA-PBE) results for a geometry-optimized Sm3MgSc4 structure.

Unit cell a=5.8865 b=6.9374 c=10.8190 alpha=90.00 beta=90.00 gamma=90.00
Closest atoms and distances in Å follow each position.
Element x y z (fractional)
Mg 0.9923 0.3564 0.0000  5 Sc 3.20-3.43, 6 Sm 3.36-3.56
Mg 0.4923 0.6436 0.5000  5 Sc 3.20-3.43, 6 Sm 3.36-3.56
Sm 0.0007 0.3647 0.5000  6 Sc 3.31-3.61, 4 Sm 3.38-3.44, 2 Mg 3.48-3.56
Sm 0.1390 0.6308 0.7573  6 Sc 3.35-3.57, 2 Mg 3.36-3.48, 4 Sm 3.38-3.46
Sm 0.5007 0.6353 0.0000  6 Sc 3.31-3.61, 4 Sm 3.38-3.44, 2 Mg 3.48-3.56
Sm 0.1390 0.6308 0.2427  6 Sc 3.35-3.57, 2 Mg 3.36-3.48, 4 Sm 3.38-3.46
Sm 0.6390 0.3692 0.7427  6 Sc 3.35-3.57, 2 Mg 3.36-3.48, 4 Sm 3.38-3.46
Sm 0.6390 0.3692 0.2573  6 Sc 3.35-3.57, 2 Mg 3.36-3.48, 4 Sm 3.38-3.46
Sc 0.1446 0.1162 0.7546  6 Sc 3.23-3.36, 1 Mg 3.26, 5 Sm 3.36-3.57
Sc 0.1446 0.1162 0.2454  6 Sc 3.23-3.36, 1 Mg 3.26, 5 Sm 3.36-3.57
Sc 0.4725 0.1047 0.5000  1 Mg 3.20, 6 Sc 3.23-3.37, 3 Sm 3.31-3.35
Sc 0.9826 0.8842 0.5000  6 Sc 3.26-3.37, 2 Mg 3.33-3.43, 4 Sm 3.34-3.61
Sc 0.6446 0.8838 0.7454  6 Sc 3.23-3.36, 1 Mg 3.26, 5 Sm 3.36-3.57
Sc 0.9725 0.8953 0.0000  1 Mg 3.20, 6 Sc 3.23-3.37, 3 Sm 3.31-3.35
Sc 0.4826 0.1158 0.0000  6 Sc 3.26-3.37, 2 Mg 3.33-3.43, 4 Sm 3.34-3.61
Sc 0.6446 0.8838 0.2546  6 Sc 3.23-3.36, 1 Mg 3.26, 5 Sm 3.36-3.57

As for the space group: Pmn2_1 (31). The value obtained for the formation energy is 0.023 eV/atom. For the density of states at the Fermi level, the calculation gives 1.3799 states/eV per atom. As for the total magnetic moment: 0.00 μB/atom.

---

DFT (GGA-PBE) results for a geometry-optimized Sm2MgSc structure.

Unit cell a=5.4507 b=5.4507 c=5.4507 alpha=60.00 beta=60.00 gamma=60.00
Closest atoms and distances in Å follow each position.
Element x y z (fractional)
Mg 0.0000 0.0000 0.0000  8 Sm 3.34
Sc 0.5000 0.5000 0.5000  8 Sm 3.34
Sm 0.2500 0.2500 0.2500  4 Mg 3.34, 4 Sc 3.34
Sm 0.7500 0.7500 0.7500  4 Mg 3.34, 4 Sc 3.34

As for the space group: Fm-3m (225). As for the distance to the lowest polymorph of the same formula: 0.023 eV per atom. The value obtained for the formation energy is 0.017 eV/atom. For the density of states at the Fermi level, the calculation gives 1.1422 states/eV per atom. As for the total magnetic moment: 0.00 μB/atom.